(1)
Compound: Sm2ThIn
Source: the Alexandria database
Functional: PBE-GGA
Structure: relaxed

Properties
- distance to the lowest polymorph of the same formula (eV per atom) = 0.019
- symmetry = P4/mmm
- energy relative to the elements (eV per atom) = -0.215
- energy (eV for the cell shown) = -20.5

Cell and atoms, written as extended XYZ:
```
4
Lattice="4.852 0.000 0.000 0.000 4.969 0.000 0.000 0.000 4.969" Properties=species:S:1:pos:R:3 pbc="T T T"
Sm 0.000 0.000 2.485
Sm 0.000 2.485 0.000
Th 2.426 2.485 2.485
In 2.426 0.000 0.000
```

---

(2)
Compound: Sm2ThIn
Source: the Alexandria database
Functional: PBE-GGA
Structure: relaxed

Properties
- distance to the lowest polymorph of the same formula (eV per atom) = 0.131
- symmetry = R3m
- energy relative to the elements (eV per atom) = -0.103
- energy (eV for the cell shown) = -20.0

Cell and atoms, written as extended XYZ:
```
4
Lattice="3.609 0.000 0.000 1.805 3.126 0.000 1.805 1.042 11.117" Properties=species:S:1:pos:R:3 pbc="T T T"
Sm 1.805 1.042 8.490
Sm 1.805 1.042 2.617
Th 3.609 2.084 5.561
In 3.609 2.084 0.007
```

---

(3)
Compound: SmTh4In4
Source: the Alexandria database
Functional: PBE-GGA
Structure: relaxed

Properties
- symmetry = P4_2/n
- energy relative to the elements (eV per atom) = 0.061
- energy (eV for the cell shown) = -89.6

Cell and atoms, written as extended XYZ:
```
18
Lattice="6.495 0.000 0.000 0.000 9.624 0.000 0.000 0.000 9.624" Properties=species:S:1:pos:R:3 pbc="T T T"
Sm 0.000 0.000 0.000
Sm 3.247 4.812 4.812
Th 2.316 3.050 8.705
Th 5.564 5.731 7.862
Th 2.316 6.574 0.919
Th 0.931 1.762 5.731
Th 4.178 8.705 6.574
Th 0.931 7.862 3.893
Th 5.564 3.893 1.762
Th 4.178 0.919 3.050
In 4.188 7.394 3.640
In 4.188 2.230 5.984
In 0.941 8.452 7.042
In 5.553 2.582 8.452
In 5.553 7.042 1.172
In 2.306 3.640 2.230
In 2.306 5.984 7.394
In 0.941 1.172 2.582
```

---

Taking the records one at a time from the top gives V values of 119.8, 125.4, 601.5 Å³/cell.